# 1
VASP calculation (GGA-PBE) on AcPm3Os after structural relaxation.

Volume ... 33.95 Å³/atom
Formation energy from the elements ... -0.07 eV/atom
Total moment ... 0.00 μB/cell

Unit cell a=7.6330 b=7.6330 c=7.6043 alpha=106.43 beta=112.23 gamma=109.96
Sites, in units of the cell vectors:
Pm 0.8490 0.0580 0.3083
Pm 0.3034 0.5509 0.8543
Pm 0.1510 0.9420 0.6917
Pm 0.6966 0.4491 0.1457
Pm 0.2503 0.4593 0.3083
Pm 0.7497 0.5407 0.6917
Os 0.6432 0.7464 0.3896
Os 0.3568 0.2536 0.6104
Ac 0.7174 0.0531 0.7706
Ac 0.2826 0.9469 0.2294


# 2
VASP calculation (GGA-PBE) on AcHg4 after structural relaxation.

Volume ... 27.46 Å³/atom
Formation energy from the elements ... -0.33 eV/atom
Total moment ... 0.00 μB/cell

Unit cell a=5.3195 b=5.7347 c=5.7347 alpha=77.58 beta=62.37 gamma=62.37
Sites, in units of the cell vectors:
Hg 0.7992 0.7018 0.6998
Hg 0.5010 0.6998 0.2982
Hg 0.4990 0.3002 0.7018
Hg 0.2008 0.2982 0.3002
Ac 0.0000 0.0000 0.0000


# 3
VASP calculation (GGA-PBE) on K2ZrZnS after structural relaxation.

Volume ... 40.73 Å³/atom
Formation energy without anion corrections ... 646 meV per atom
Total moment ... 3.26 μB/cell

Unit cell a=6.7885 b=4.4187 c=6.7885 alpha=90.00 beta=90.00 gamma=90.00
Sites, in units of the cell vectors:
S 0.0000 0.5000 0.0000
Zn 0.0000 0.0000 0.0000
K 0.0000 0.0000 0.5000
K 0.5000 0.0000 0.0000
Zr 0.5000 0.5000 0.5000


# 4
VASP calculation (GGA-PBE) on ScAg2W after structural relaxation.

Volume ... 18.21 Å³/atom
Formation energy from the elements ... 0.53 eV/atom
Total moment ... 0.00 μB/cell

Unit cell a=4.6878 b=4.6878 c=4.6878 alpha=60.00 beta=60.00 gamma=60.00
Sites, in units of the cell vectors:
Ag 0.2500 0.2500 0.2500
Ag 0.7500 0.7500 0.7500
Sc 0.0000 0.0000 0.0000
W 0.5000 0.5000 0.5000


# 5
VASP calculation (GGA-PBE) on Tb2Ga8Ni after structural relaxation.

Volume ... 18.36 Å³/atom
Formation energy from the elements ... -0.50 eV/atom
Total moment ... 0.00 μB/cell

Unit cell a=4.2671 b=4.2671 c=11.0910 alpha=90.00 beta=90.00 gamma=90.00
Sites, in units of the cell vectors:
Ga 0.5000 0.0000 0.1185
Ga 0.5000 0.0000 0.8815
Ga 0.5000 0.5000 0.6954
Ga 0.5000 0.0000 0.5000
Ga 0.0000 0.5000 0.8815
Ga 0.5000 0.5000 0.3046
Ga 0.0000 0.5000 0.5000
Ga 0.0000 0.5000 0.1185
Tb 0.0000 0.0000 0.6938
Tb 0.0000 0.0000 0.3062
Ni 0.0000 0.0000 0.0000


# 6
VASP calculation (GGA-PBE) on CeTm2Pb after structural relaxation.

Volume ... 27.86 Å³/atom
Formation energy from the elements ... -0.23 eV/atom
Total moment ... 0.37 μB/cell

Unit cell a=4.6590 b=4.8911 c=4.8911 alpha=90.00 beta=90.00 gamma=90.00
Sites, in units of the cell vectors:
Pb 0.5000 0.0000 0.0000
Tm 0.0000 0.5000 0.0000
Tm 0.0000 0.0000 0.5000
Ce 0.5000 0.5000 0.5000


Q: Look up the volume of the first one.
A: 33.95 Å³/atom